Here is an optimized crystal structure of TlCoC3 from Alexandria via LeMat-Bulk. Energies are from PBE.

abc: 4.3171 4.3171 4.3171
angles: 90.00 90.00 90.00
Atoms (fractional coordinates):
Tl (0.0000, 0.0000, 0.0000)
Co (0.5000, 0.5000, 0.5000)
C (0.0000, 0.5000, 0.0000)
C (0.0000, 0.0000, 0.5000)
C (0.5000, 0.0000, 0.0000)

- ΔE to the lowest computed polymorph (eV per atom) = 1.790
- energy of formation from the pure elements (eV/atom) = 3.94
- total moment (μB per atom) = 0.0147

---

Here is an optimized crystal structure of TcMo3S4 from Alexandria via LeMat-Bulk. Energies are from PBE.

abc: 6.3900 5.3852 7.7956
angles: 90.00 90.00 90.00
Atoms (fractional coordinates):
Tc (0.9419, 0.0627, 0.0000)
Tc (0.4419, 0.9373, 0.5000)
Mo (0.5980, 0.7330, 0.0000)
Mo (0.9539, 0.6028, 0.1961)
Mo (0.4539, 0.3972, 0.3039)
Mo (0.0980, 0.2670, 0.5000)
Mo (0.4539, 0.3972, 0.6961)
Mo (0.9539, 0.6028, 0.8039)
S (0.2077, 0.7464, 0.0000)
S (0.5850, 0.2025, 0.0000)
S (0.1374, 0.2299, 0.2077)
S (0.6374, 0.7701, 0.2923)
S (0.0850, 0.7975, 0.5000)
S (0.7077, 0.2536, 0.5000)
S (0.6374, 0.7701, 0.7077)
S (0.1374, 0.2299, 0.7923)

- raw total energy (eV per atom) = -7.650
- total moment (μB per atom) = 0.0000

---

- total moment of number 2 (TcMo3S4)?
  0.0000 μB per atom

---

- The lowest total moment belongs to which entry?
  TcMo3S4

---

Please write out number 1 again, unchanged.
Here is an optimized crystal structure of TlCoC3 from Alexandria via LeMat-Bulk. Energies are from PBE.

abc: 4.3171 4.3171 4.3171
angles: 90.00 90.00 90.00
Atoms (fractional coordinates):
Tl (0.0000, 0.0000, 0.0000)
Co (0.5000, 0.5000, 0.5000)
C (0.0000, 0.5000, 0.0000)
C (0.0000, 0.0000, 0.5000)
C (0.5000, 0.0000, 0.0000)

- ΔE to the lowest computed polymorph (eV per atom) = 1.790
- energy of formation from the pure elements (eV/atom) = 3.94
- total moment (μB per atom) = 0.0147